1.
The following is a DFT calculation (PBE-GGA) of Cr2FeSe after structural relaxation.

Properties
Spin magnetization, μB/f.u.: 2.9
Mass density, Mg/m³: 7.34

Lattice parameters (Å, degrees): 3.2327 3.1456 5.3097 90.00 90.00 90.00
Each line ends with the local moment (μB).
Fractional coordinates of all 4 atoms:
Se: 0.5000 0.5000 0.7309  0.03
Cr: 0.5000 0.5000 0.2300  -1.86
Cr: 0.0000 0.0000 0.0250  2.36
Fe: 0.0000 0.0000 0.5140  2.27



2.
The following is a DFT calculation (PBE-GGA) of Cr2FeSe after structural relaxation.

Properties
Spin magnetization, μB/f.u.: 1.9
Mass density, Mg/m³: 8.13

Lattice parameters (Å, degrees): 4.1016 4.1016 4.1016 60.00 60.00 60.00
Each line ends with the local moment (μB).
Fractional coordinates of all 4 atoms:
Cr: 0.0000 0.0000 0.0000  -0.73
Cr: 0.7500 0.7500 0.7500  2.14
Fe: 0.5000 0.5000 0.5000  0.29
Se: 0.2500 0.2500 0.2500  0.06



3.
The following is a DFT calculation (PBE-GGA) of Cr2FeSe after structural relaxation.

Properties
Spin magnetization, μB/f.u.: 2.2
Mass density, Mg/m³: 7.55

Lattice parameters (Å, degrees): 3.5622 2.9099 5.2744 73.97 90.00 90.00
Each line ends with the local moment (μB).
Fractional coordinates of all 4 atoms:
Cr: 0.5000 0.3019 0.2711  1.84
Se: 0.5000 0.5458 0.7839  -0.05
Cr: 0.0000 0.9514 0.9719  1.70
Fe: 0.0000 0.7009 0.4731  -1.47



4.
The following is a DFT calculation (PBE-GGA) of Cr2FeSe after structural relaxation.

Properties
Spin magnetization, μB/f.u.: 2.3
Mass density, Mg/m³: 6.97

Lattice parameters (Å, degrees): 6.5589 6.5589 5.3388 52.10 52.10 90.00
Each line ends with the local moment (μB).
Fractional coordinates of all 8 atoms:
Se: 0.0000 0.0000 0.0000  -0.02
Fe: 0.2500 0.7500 0.5000  -1.85
Cr: 0.1422 0.6250 0.2500  1.99
Fe: 0.5000 0.5000 0.0000  -1.85
Se: 0.7500 0.2500 0.5000  -0.02
Cr: 0.8750 0.8578 0.7500  2.00
Cr: 0.3750 0.3922 0.7500  1.99
Cr: 0.6078 0.1250 0.2500  1.97



Which of them is the most stable, and which is the least stable? 1 and 4, in that order.



1.
The following is a DFT calculation (PBE-GGA) of Cr2FeSe after structural relaxation.

Properties
Spin magnetization, μB/f.u.: 1.4
Mass density, Mg/m³: 7.71

Lattice parameters (Å, degrees): 7.8303 7.8303 7.8303 20.48 20.48 20.48
Each line ends with the local moment (μB).
Fractional coordinates of all 4 atoms:
Cr: 0.5009 0.5009 0.5009  -0.25
Fe: 0.2500 0.2500 0.2500  1.85
Se: 0.7500 0.7500 0.7500  0.03
Cr: 0.9991 0.9991 0.9991  -0.25



2.
The following is a DFT calculation (PBE-GGA) of Cr2FeSe after structural relaxation.

Properties
Spin magnetization, μB/f.u.: 1.5
Mass density, Mg/m³: 7.73

Lattice parameters (Å, degrees): 3.1561 3.9242 4.1433 90.00 90.00 90.00
Each line ends with the local moment (μB).
Fractional coordinates of all 4 atoms:
Se: 0.0000 0.5000 0.5000  0.03
Cr: 0.5000 0.5000 0.0000  -2.19
Cr: 0.0000 0.0000 0.0000  2.16
Fe: 0.5000 0.0000 0.5000  1.50



Which of them is the most stable, and which is the least stable? 2 and 1, in that order.



1.
The following is a DFT calculation (PBE-GGA) of Cr2FeSe after structural relaxation.

Properties
Spin magnetization, μB/f.u.: 1.9
Mass density, Mg/m³: 7.71

Lattice parameters (Å, degrees): 3.6355 2.9234 5.6670 58.65 90.00 90.00
Each line ends with the local moment (μB).
Fractional coordinates of all 4 atoms:
Se: 0.5000 0.7500 0.7500  0.02
Fe: 0.5000 0.2500 0.2500  1.72
Cr: 0.0000 0.5269 0.4703  0.07
Cr: 0.0000 0.9731 0.0297  0.07



2.
The following is a DFT calculation (PBE-GGA) of Cr2FeSe after structural relaxation.

Properties
Spin magnetization, μB/f.u.: 1.8
Mass density, Mg/m³: 8.08

Lattice parameters (Å, degrees): 4.1093 4.1093 4.1093 60.00 60.00 60.00
Each line ends with the local moment (μB).
Fractional coordinates of all 4 atoms:
Cr: 0.2500 0.2500 0.2500  -0.19
Fe: 0.0000 0.0000 0.0000  2.08
Se: 0.5000 0.5000 0.5000  0.05
Cr: 0.7500 0.7500 0.7500  -0.19



Which of them is the most stable, and which is the least stable? 2 and 1, in that order.